Record 1
AgTe2BrN (GGA-PBE, optimized geometry); E_form (uncorrected) = 1116 meV per atom; VASP energy = -0.0996 hartree per atom; polymorph energy (0 for the lowest one) = 0 meV per atom
1.0
-3.547 4.300 -1.389
-0.771 -2.316 -5.200
-3.055 -2.075 1.376
Ag N Te Br
1 1 2 1
Direct
0.000 0.000 0.000
0.000 0.000 0.500
0.000 0.500 0.000
0.500 0.000 0.000
0.500 0.500 0.500

---

Record 2
AgTeBrN2 (GGA-PBE, optimized geometry); E_form (uncorrected) = 1698 meV per atom; VASP energy = -0.1163 hartree per atom; polymorph energy (0 for the lowest one) = 0 meV per atom
1.0
-2.724 -1.713 2.783
-1.354 -2.706 -2.991
4.307 -4.056 1.720
Br N Te Ag
1 2 1 1
Direct
0.500 0.500 0.500
0.500 0.000 0.000
0.000 0.500 0.000
0.000 0.000 0.500
0.000 0.000 0.000

---

Record 3
AgTe2BrN (GGA-PBE, optimized geometry); E_form (uncorrected) = 1341 meV per atom; VASP energy = -0.0913 hartree per atom; polymorph energy (0 for the lowest one) = 225 meV per atom
1.0
-4.970 -2.267 -2.254
3.191 -3.765 -3.249
-0.117 -2.449 2.723
Ag Br Te N
1 1 2 1
Direct
0.500 0.500 0.500
0.000 0.000 0.000
0.000 0.500 0.000
0.500 0.000 0.000
0.000 0.000 0.500